{"formula": "La2SmInN", "functional": "PBE", "state": "relaxed", "vol_a3_per_atom": 26.28, "dft_energy_ha_per_atom": -0.2208, "e_form_raw_ev_per_atom": -0.881, "cell": [[5.1162, 0.0000, 0.0000], [0.0000, 5.1162, 0.0000], [0.0000, 0.0000, 5.0192]], "species": ["La", "La", "Sm", "In", "N"], "frac_coords": [[0.0000, 0.5000, 0.0000], [0.5000, 0.0000, 0.0000], [0.0000, 0.0000, 0.5000], [0.5000, 0.5000, 0.5000], [0.0000, 0.0000, 0.0000]]}